# NaHf2MgTi, single point on PBEsol structure, DFT meta-GGA SCAN
# **E_form**: 1534 meV/atom
data_NaHf2MgTi
_symmetry_space_group_name_H-M 'P 1'
_symmetry_Int_Tables_number 1
_cell_length_a 4.951
_cell_length_b 4.951
_cell_length_c 4.697
_cell_angle_alpha 90.00
_cell_angle_beta 90.00
_cell_angle_gamma 90.00
loop_
_symmetry_equiv_pos_as_xyz
'x,y,z'
loop_
_atom_site_label
_atom_site_type_symbol
_atom_site_fract_x
_atom_site_fract_y
_atom_site_fract_z
Na1 Na 0.000 0.000 0.000
Hf1 Hf 0.000 0.500 0.000
Hf2 Hf 0.500 0.000 0.000
Mg1 Mg 0.500 0.500 0.500
Ti1 Ti 0.000 0.000 0.500

***

# KCd2Tc, single point on PBEsol structure, DFT meta-GGA SCAN
# **E_form**: 905 meV/atom
# **Energy relative to the lowest polymorph listed for this composition**: 379 meV per atom
data_KCd2Tc
_symmetry_space_group_name_H-M 'P 1'
_symmetry_Int_Tables_number 1
_cell_length_a 4.974
_cell_length_b 4.974
_cell_length_c 4.974
_cell_angle_alpha 60.00
_cell_angle_beta 60.00
_cell_angle_gamma 60.00
loop_
_symmetry_equiv_pos_as_xyz
'x,y,z'
loop_
_atom_site_label
_atom_site_type_symbol
_atom_site_fract_x
_atom_site_fract_y
_atom_site_fract_z
K1 K 0.000 0.000 0.000
Cd1 Cd 0.500 0.500 0.500
Cd2 Cd 0.750 0.750 0.750
Tc1 Tc 0.250 0.250 0.250

***

# BaTl2Sb, single point on PBEsol structure, DFT meta-GGA SCAN
# **Formation energy without anion corrections**: -500 meV/atom
# **Energy relative to the lowest polymorph listed for this composition**: 86 meV per atom
data_BaTl2Sb
_symmetry_space_group_name_H-M 'P 1'
_symmetry_Int_Tables_number 1
_cell_length_a 4.916
_cell_length_b 4.916
_cell_length_c 5.169
_cell_angle_alpha 90.00
_cell_angle_beta 90.00
_cell_angle_gamma 90.00
loop_
_symmetry_equiv_pos_as_xyz
'x,y,z'
loop_
_atom_site_label
_atom_site_type_symbol
_atom_site_fract_x
_atom_site_fract_y
_atom_site_fract_z
Ba1 Ba 0.000 0.000 0.000
Tl1 Tl 0.000 0.500 0.500
Tl2 Tl 0.500 0.000 0.500
Sb1 Sb 0.500 0.500 0.000

***

# RuRh, single point on PBEsol structure, DFT meta-GGA SCAN
# **E_form**: 37 meV/atom
data_RuRh
_symmetry_space_group_name_H-M 'P 1'
_symmetry_Int_Tables_number 1
_cell_length_a 5.032
_cell_length_b 5.032
_cell_length_c 4.663
_cell_angle_alpha 117.07
_cell_angle_beta 117.07
_cell_angle_gamma 30.91
loop_
_symmetry_equiv_pos_as_xyz
'x,y,z'
loop_
_atom_site_label
_atom_site_type_symbol
_atom_site_fract_x
_atom_site_fract_y
_atom_site_fract_z
Ru1 Ru 0.127 0.127 0.293
Ru2 Ru 0.873 0.873 0.707
Rh1 Rh 0.377 0.377 0.208
Rh2 Rh 0.623 0.623 0.792

***

# BaCa3Rh, single point on PBEsol structure, DFT meta-GGA SCAN
# **E_form**: -236 meV/atom
# **Energy relative to the lowest polymorph listed for this composition**: 6 meV per atom
data_BaCa3Rh
_symmetry_space_group_name_H-M 'P 1'
_symmetry_Int_Tables_number 1
_cell_length_a 5.590
_cell_length_b 5.590
_cell_length_c 5.590
_cell_angle_alpha 90.00
_cell_angle_beta 90.00
_cell_angle_gamma 90.00
loop_
_symmetry_equiv_pos_as_xyz
'x,y,z'
loop_
_atom_site_label
_atom_site_type_symbol
_atom_site_fract_x
_atom_site_fract_y
_atom_site_fract_z
Ba1 Ba 0.000 0.000 0.000
Ca1 Ca 0.000 0.500 0.500
Ca2 Ca 0.500 0.000 0.500
Ca3 Ca 0.500 0.500 0.000
Rh1 Rh 0.500 0.500 0.500

***

# ZnNi2Ir, single point on PBEsol structure, DFT meta-GGA SCAN
# **E_form**: -84 meV/atom
data_ZnNi2Ir
_symmetry_space_group_name_H-M 'P 1'
_symmetry_Int_Tables_number 1
_cell_length_a 4.414
_cell_length_b 4.414
_cell_length_c 4.414
_cell_angle_alpha 130.90
_cell_angle_beta 130.90
_cell_angle_gamma 71.97
loop_
_symmetry_equiv_pos_as_xyz
'x,y,z'
loop_
_atom_site_label
_atom_site_type_symbol
_atom_site_fract_x
_atom_site_fract_y
_atom_site_fract_z
Zn1 Zn 0.000 0.000 0.000
Ni1 Ni 0.250 0.750 0.500
Ni2 Ni 0.500 0.500 0.000
Ir1 Ir 0.750 0.250 0.500

***

no.,VASP energy (eV/atom)
1,-28.579
2,-25.149
3,-55.882
4,-34.262
5,-20.699
6,-29.325